Material: MnCoCuF6
Method: DFT, PBE+U
State: optimized geometry

Results
size of the total moment: 9.0 μB per formula unit
total DFT energy (no corrections): -5.18 eV per atom

Structure (POSCAR):
```
MnCoCuF6
1.0
-0.909 -2.247 4.124
1.108 -4.185 -2.036
9.353 1.165 2.695
Co F Cu Mn
2 12 2 2
direct
0.000 0.000 0.667
0.500 0.500 0.167
0.202 0.798 0.829
0.298 0.298 0.670
0.689 0.689 0.002
0.811 0.189 0.502
0.702 0.702 0.329
0.298 0.298 0.329
0.798 0.202 0.829
0.202 0.798 0.170
0.702 0.702 0.670
0.798 0.202 0.170
0.311 0.311 0.002
0.189 0.811 0.502
0.000 0.000 0.332
0.500 0.500 0.832
0.500 0.500 0.500
0.000 0.000 0.000
```